Compound: HPd6Se
Source: Alexandria via LeMat-Bulk
Functional: PBE
Structure: relaxed

a = 11.3434 Å, b = 7.4892 Å, c = 8.0862 Å
α = 90.00°, β = 131.31°, γ = 90.00°
Space group C2/m (No. 12)
Asymmetric unit:
1 H 0.2500 0.2500 0.0000
2 Pd 0.0244 0.1965 0.6939
3 Pd 0.0993 0.5000 0.2392
4 Pd 0.1648 0.1835 0.1409
5 Pd 0.2094 0.5000 0.0052
6 Se 0.2500 0.2500 0.5000

Properties
Uncorrected energy = -4.70 eV/atom
Polymorph energy (0 for the lowest one) = 117 meV/atom